Here is crystalline AlFeI2O at its relaxed geometry from Alexandria via LeMat-Bulk. Energies are from PBE+U.

The space group is P4/mmm (123). The density of states at the Fermi level is 1.14 states/eV/f.u. The calculation puts the final energy at -20.121 eV/cell.

a b c (Å): 5.720 5.720 3.505
angles (deg): 90.00 90.00 90.00
Site moments in Bohr magnetons follow the coordinates.
Atoms (fractional coordinates):
1 Fe 0.500 0.500 0.500  3.20
2 I 0.500 0.000 0.000  0.01
3 I 0.000 0.500 0.000  0.01
4 O 0.000 0.000 0.500  0.00
5 Al 0.000 0.000 0.000  0.00